No. 1
Material: Na4Tl2Ag
Method: DFT, PBE
State: relaxed

Output
- Energy of formation from the pure elements: -5 kJ/mol of atoms
- Final energy: -1.893 eV/atom
- Crystal system: triclinic

abc: 6.2920 7.8438 9.5470
angles: 75.26 72.21 66.71
Last column: nearest neighbours and their distance in Å.
Element x y z (fractional)
Na 0.0066 0.2063 0.2795  3 Na 3.14-3.48, 2 Ag 3.19, 2 Tl 3.38-3.47
Na 0.0488 0.2583 0.6207  2 Ag 3.16-3.22, 1 Tl 3.31, 1 Na 3.48
Na 0.4615 0.2264 0.8571  1 Ag 3.13, 1 Tl 3.33
Na 0.4872 0.7591 0.7608  2 Ag 3.02-3.12, 2 Na 3.14-3.20, 2 Tl 3.16-3.35
Na 0.5128 0.2409 0.2392  2 Ag 3.02-3.12, 2 Na 3.14-3.20, 2 Tl 3.16-3.35
Na 0.5385 0.7736 0.1429  1 Ag 3.13, 1 Tl 3.33
Na 0.9512 0.7417 0.3793  2 Ag 3.16-3.22, 1 Tl 3.31, 1 Na 3.48
Na 0.9934 0.7937 0.7205  3 Na 3.14-3.48, 2 Ag 3.19, 2 Tl 3.38-3.47
Tl 0.0000 0.0000 0.0000  2 Tl 3.06, 2 Na 3.39
Tl 0.1630 0.5711 0.0610  2 Tl 3.06-3.28, 5 Na 3.16-3.38
Tl 0.5000 0.5000 0.5000  2 Ag 2.90
Tl 0.8370 0.4289 0.9390  2 Tl 3.06-3.28, 5 Na 3.16-3.38
Ag 0.3901 0.9028 0.4536  1 Ag 2.85, 1 Tl 2.90, 6 Na 3.02-3.19
Ag 0.6099 0.0972 0.5464  1 Ag 2.85, 1 Tl 2.90, 6 Na 3.02-3.19


No. 2
Material: NaCrSnCl6
Method: DFT, PBE
State: relaxed

Output
- Final energy: -4.089 eV/atom
- Crystal system: trigonal
- Uncorrected formation energy: -1197 meV/atom

abc: 6.7222 6.7222 11.7903
angles: 90.00 90.00 120.00
Last column: nearest neighbours and their distance in Å.
Element x y z (fractional)
Na 0.3333 0.6667 0.2500  6 Cl 2.77
Na 0.6667 0.3333 0.7500  6 Cl 2.77
Cr 0.3333 0.6667 0.7500  6 Cl 2.38
Cr 0.6667 0.3333 0.2500  6 Cl 2.38
Sn 0.0000 0.0000 0.0000  6 Cl 2.88
Sn 0.0000 0.0000 0.5000  6 Cl 2.88
Cl 0.0451 0.3792 0.6330  1 Cr 2.38
Cl 0.0451 0.6658 0.8670  1 Cr 2.38
Cl 0.3342 0.3792 0.8670  1 Cr 2.38
Cl 0.3342 0.9549 0.6330  1 Cr 2.38
Cl 0.3792 0.0451 0.1330  1 Cr 2.38
Cl 0.3792 0.3342 0.3670  1 Cr 2.38
Cl 0.6208 0.6658 0.6330  1 Cr 2.38
Cl 0.6208 0.9549 0.8670  1 Cr 2.38
Cl 0.6658 0.0451 0.3670  1 Cr 2.38
Cl 0.6658 0.6208 0.1330  1 Cr 2.38
Cl 0.9549 0.3342 0.1330  1 Cr 2.38
Cl 0.9549 0.6208 0.3670  1 Cr 2.38


No. 3
Material: ReAsW2
Method: DFT, PBE
State: relaxed

Output
- Energy of formation from the pure elements: 23 kJ/mol of atoms
- Final energy: -10.514 eV/atom
- Crystal system: tetragonal

abc: 2.9522 2.9522 7.1065
angles: 90.00 90.00 90.00
Last column: nearest neighbours and their distance in Å.
Element x y z (fractional)
Re 0.0000 0.0000 0.0000  8 W 2.77, 4 Re 2.95
As 0.0000 0.0000 0.5000  8 W 2.72, 4 As 2.95
W 0.5000 0.5000 0.2557  4 As 2.72, 4 Re 2.77, 4 W 2.95
W 0.5000 0.5000 0.7443  4 As 2.72, 4 Re 2.77, 4 W 2.95


Question: Look up the final energy of the first one.
Answer: -1.893 eV/atom